# 1
Computed, not measured: an optimized crystal structure of InP2W at the GGA-PBEsol level of DFT.

calculated formation energy: 0.14 eV/atom

Cell: 3.184 4.381 5.224 Å, 95.95 90.00 111.31°
Sites, in units of the cell vectors:
In  0.500  0.000  0.000
P  0.279  0.559  0.326
P  0.721  0.441  0.674
W  0.000  0.000  0.500



# 2
Computed, not measured: an optimized crystal structure of YInP3 at the GGA-PBEsol level of DFT.

calculated formation energy: 0.54 eV/atom

Cell: 5.174 5.174 5.174 Å, 90.00 90.00 90.00°
Sites, in units of the cell vectors:
P  0.000  0.500  0.000
Y  0.000  0.000  0.000
In  0.500  0.500  0.500
P  0.500  0.000  0.000
P  0.000  0.000  0.500



# 3
Computed, not measured: an optimized crystal structure of YInP2 at the GGA-PBEsol level of DFT.

calculated formation energy: -0.03 eV/atom

Cell: 4.847 4.847 4.847 Å, 60.00 60.00 60.00°
Sites, in units of the cell vectors:
P  0.000  0.000  0.000
P  0.250  0.250  0.250
Y  0.750  0.750  0.750
In  0.500  0.500  0.500



# 4
Computed, not measured: an optimized crystal structure of Y2InP at the GGA-PBEsol level of DFT.

calculated formation energy: -1.05 eV/atom
excess energy over the best structure of this formula in the dataset: 0 meV per atom

Cell: 3.851 3.851 8.149 Å, 76.33 76.33 60.00°
Sites, in units of the cell vectors:
Y  0.734  0.734  0.797
P  0.000  0.000  0.000
Y  0.266  0.266  0.203
In  0.500  0.500  0.500



# 5
Computed, not measured: an optimized crystal structure of YIn3P at the GGA-PBEsol level of DFT.

calculated formation energy: 0.21 eV/atom

Cell: 5.126 5.126 5.126 Å, 90.00 90.00 90.00°
Sites, in units of the cell vectors:
Y  0.500  0.500  0.500
In  0.000  0.500  0.000
In  0.000  0.000  0.500
P  0.000  0.000  0.000
In  0.500  0.000  0.000



# 6
Computed, not measured: an optimized crystal structure of YInP2 at the GGA-PBEsol level of DFT.

calculated formation energy: -0.38 eV/atom

Cell: 4.816 4.816 4.816 Å, 60.00 60.00 60.00°
Sites, in units of the cell vectors:
P  0.750  0.750  0.750
Y  0.500  0.500  0.500
P  0.250  0.250  0.250
In  0.000  0.000  0.000